# 1
VASP calculation (GGA-PBE) on crystalline MgMnRh at its relaxed geometry.

## Properties
size of the total moment	0.1	μB/cell
DOS at the Fermi energy	2.12	states/eV per atom
energy of formation from the pure elements	0.1139	eV/atom

a = 3.5617 Å, b = 3.5617 Å, c = 7.0819 Å
α = 90.00°, β = 90.00°, γ = 90.00°
Positions (direct):
Mg: 0.2500 0.2500 0.1478
Mg: 0.7500 0.7500 0.8522
Mn: 0.2500 0.7500 0.5000
Mn: 0.7500 0.2500 0.5000
Rh: 0.2500 0.2500 0.7564
Rh: 0.7500 0.7500 0.2436

---

# 2
VASP calculation (GGA-PBE) on crystalline MgMnRh2 at its relaxed geometry.

## Properties
size of the total moment	6.4	μB/cell
DOS at the Fermi energy	0.83	states/eV per atom
energy of formation from the pure elements	0.1447	eV/atom

a = 5.5622 Å, b = 5.5622 Å, c = 5.5622 Å
α = 103.98°, β = 103.98°, γ = 121.12°
Positions (direct):
Mg: 0.0000 0.0000 0.0000
Mg: 0.7500 0.2500 0.5000
Mn: 0.2500 0.7500 0.5000
Mn: 0.5000 0.5000 0.0000
Rh: 0.1551 0.6250 0.0301
Rh: 0.3750 0.4051 0.5301
Rh: 0.5949 0.1250 0.9699
Rh: 0.8750 0.8449 0.4699

---

# 3
VASP calculation (GGA-PBE) on crystalline MgMnRh at its relaxed geometry.

## Properties
size of the total moment	0.0	μB/cell
DOS at the Fermi energy	0.83	states/eV per atom
energy of formation from the pure elements	-0.0622	eV/atom

a = 4.3991 Å, b = 2.9239 Å, c = 7.1022 Å
α = 90.00°, β = 107.92°, γ = 90.00°
Positions (direct):
Mg: 0.0000 0.0000 0.0000
Mg: 0.3671 0.0000 0.7327
Mn: 0.2537 0.5000 0.3665
Mn: 0.9026 0.0000 0.3663
Rh: 0.5421 0.5000 0.0972
Rh: 0.8130 0.5000 0.6362

---

# 4
VASP calculation (GGA-PBE) on crystalline MgMnRh at its relaxed geometry.

## Properties
size of the total moment	0.0	μB/cell
DOS at the Fermi energy	0.61	states/eV per atom
energy of formation from the pure elements	0.0201	eV/atom

a = 5.2359 Å, b = 5.2359 Å, c = 5.2359 Å
α = 136.57°, β = 93.62°, γ = 102.15°
Positions (direct):
Mg: 0.1730 0.2500 0.4230
Mg: 0.8270 0.7500 0.5770
Mn: 0.5916 0.9192 0.1723
Mn: 0.7469 0.4192 0.8277
Rh: 0.1908 0.5604 0.1304
Rh: 0.4301 0.0604 0.8696

---

# 5
VASP calculation (GGA-PBE) on crystalline MgMnRh at its relaxed geometry.

## Properties
size of the total moment	1.1	μB/cell
DOS at the Fermi energy	0.83	states/eV per atom
energy of formation from the pure elements	-0.0595	eV/atom

a = 5.1387 Å, b = 5.1387 Å, c = 5.1387 Å
α = 131.96°, β = 108.53°, γ = 90.78°
Positions (direct):
Mg: 0.0000 0.0000 0.0000
Mg: 0.5916 0.0916 0.5000
Mn: 0.0534 0.7168 0.3365
Mn: 0.3803 0.7168 0.6635
Rh: 0.1684 0.3910 0.7774
Rh: 0.6137 0.3910 0.2226

---

# 6
VASP calculation (GGA-PBE) on crystalline MgMn2Rh at its relaxed geometry.

## Properties
size of the total moment	7.6	μB/cell
DOS at the Fermi energy	1.13	states/eV per atom
energy of formation from the pure elements	0.2081	eV/atom

a = 8.9242 Å, b = 8.9242 Å, c = 8.9242 Å
α = 18.63°, β = 18.63°, γ = 18.63°
Positions (direct):
Mg: 0.0000 0.0000 0.0000
Mn: 0.2433 0.2433 0.2433
Mn: 0.7567 0.7567 0.7567
Rh: 0.5000 0.5000 0.5000

---

# 7
VASP calculation (GGA-PBE) on crystalline MgMnRh at its relaxed geometry.

## Properties
size of the total moment	0.0	μB/cell
DOS at the Fermi energy	0.79	states/eV per atom
energy of formation from the pure elements	0.0128	eV/atom

a = 4.7656 Å, b = 4.7656 Å, c = 6.5572 Å
α = 105.07°, β = 105.07°, γ = 36.87°
Positions (direct):
Mg: 0.0000 0.0000 0.0000
Mg: 0.6584 0.6584 0.3673
Mn: 0.3068 0.3068 0.7120
Mn: 0.6749 0.6749 0.8075
Rh: 0.3103 0.3103 0.1444
Rh: 0.9757 0.9757 0.5442

---

# 8
VASP calculation (GGA-PBE) on crystalline Mg4MnRh at its relaxed geometry.

## Properties
size of the total moment	4.2	μB/cell
DOS at the Fermi energy	0.50	states/eV per atom
energy of formation from the pure elements	0.2802	eV/atom

a = 5.4062 Å, b = 5.4062 Å, c = 5.4062 Å
α = 60.00°, β = 60.00°, γ = 60.00°
Positions (direct):
Mg: 0.1253 0.1253 0.1253
Mg: 0.1253 0.1253 0.6240
Mg: 0.1253 0.6240 0.1253
Mg: 0.6240 0.1253 0.1253
Mn: 0.7500 0.7500 0.7500
Rh: 0.5000 0.5000 0.5000

---

# 9
VASP calculation (GGA-PBE) on crystalline MgMnRh at its relaxed geometry.

## Properties
size of the total moment	6.3	μB/cell
DOS at the Fermi energy	0.77	states/eV per atom
energy of formation from the pure elements	-0.1259	eV/atom

a = 5.0776 Å, b = 5.0776 Å, c = 5.0776 Å
α = 120.91°, β = 115.38°, γ = 93.31°
Positions (direct):
Mg: 0.3814 0.1314 0.2500
Mg: 0.6186 0.8686 0.7500
Mn: 0.0000 0.0000 0.5000
Mn: 0.0000 0.5000 0.0000
Rh: 0.0000 0.5000 0.5000
Rh: 0.5000 0.5000 0.0000

---

# 10
VASP calculation (GGA-PBE) on crystalline MgMn2Rh2 at its relaxed geometry.

## Properties
size of the total moment	0.8	μB/cell
DOS at the Fermi energy	1.11	states/eV per atom
energy of formation from the pure elements	0.1208	eV/atom
offset from the most stable computed form	216	meV per atom

a = 7.1618 Å, b = 7.1618 Å, c = 7.1618 Å
α = 153.94°, β = 153.94°, γ = 37.19°
Positions (direct):
Mg: 0.0000 0.0000 0.0000
Mn: 0.2500 0.7500 0.5000
Mn: 0.7500 0.2500 0.5000
Rh: 0.3940 0.3940 0.0000
Rh: 0.6060 0.6060 0.0000

---

# 11
VASP calculation (GGA-PBE) on crystalline MgMn2Rh at its relaxed geometry.

## Properties
size of the total moment	0.0	μB/cell
DOS at the Fermi energy	1.49	states/eV per atom
energy of formation from the pure elements	0.7042	eV/atom

a = 5.5125 Å, b = 5.5125 Å, c = 5.5125 Å
α = 101.35°, β = 101.35°, γ = 127.33°
Positions (direct):
Mg: 0.0000 0.0000 0.0000
Mg: 0.7500 0.2500 0.5000
Mn: 0.1673 0.6250 0.0423
Mn: 0.3750 0.4173 0.5423
Mn: 0.5827 0.1250 0.9577
Mn: 0.8750 0.8327 0.4577
Rh: 0.2500 0.7500 0.5000
Rh: 0.5000 0.5000 0.0000

---

# 12
VASP calculation (GGA-PBE) on crystalline MgMnRh at its relaxed geometry.

## Properties
size of the total moment	0.0	μB/cell
DOS at the Fermi energy	1.00	states/eV per atom
energy of formation from the pure elements	-0.0542	eV/atom

a = 7.1920 Å, b = 7.1920 Å, c = 2.7569 Å
α = 90.02°, β = 90.02°, γ = 37.23°
Positions (direct):
Mg: 0.1885 0.1885 0.4981
Mg: 0.8115 0.8115 0.5019
Mn: 0.2148 0.7852 0.5000
Mn: 0.7852 0.2148 0.5000
Rh: 0.3695 0.3695 0.0003
Rh: 0.6305 0.6305 0.9997

---

# 13
VASP calculation (GGA-PBE) on crystalline MgMnRh at its relaxed geometry.

## Properties
size of the total moment	16.7	μB/cell
DOS at the Fermi energy	0.45	states/eV per atom
energy of formation from the pure elements	-0.1505	eV/atom

a = 5.4403 Å, b = 4.2666 Å, c = 8.0590 Å
α = 90.00°, β = 90.00°, γ = 90.00°
Positions (direct):
Mg: 0.1667 0.2500 0.0707
Mg: 0.3333 0.7500 0.5707
Mg: 0.6667 0.2500 0.4293
Mg: 0.8333 0.7500 0.9293
Mn: 0.0547 0.2500 0.7242
Mn: 0.4453 0.7500 0.2242
Mn: 0.5547 0.2500 0.7758
Mn: 0.9453 0.7500 0.2758
Rh: 0.1644 0.2500 0.4005
Rh: 0.3356 0.7500 0.9005
Rh: 0.6644 0.2500 0.0995
Rh: 0.8356 0.7500 0.5995

---

# 14
VASP calculation (GGA-PBE) on crystalline MgMnRh at its relaxed geometry.

## Properties
size of the total moment	0.0	μB/cell
DOS at the Fermi energy	0.90	states/eV per atom
energy of formation from the pure elements	-0.1484	eV/atom

a = 4.8076 Å, b = 2.8726 Å, c = 6.7952 Å
α = 90.00°, β = 90.00°, γ = 90.00°
Positions (direct):
Mg: 0.2500 0.0000 0.1244
Mg: 0.7500 0.0000 0.8756
Mn: 0.0000 0.0000 0.5000
Mn: 0.5000 0.0000 0.5000
Rh: 0.2500 0.5000 0.7697
Rh: 0.7500 0.5000 0.2303

---

# 15
VASP calculation (GGA-PBE) on crystalline MgMn2Rh at its relaxed geometry.

## Properties
size of the total moment	0.0	μB/cell
DOS at the Fermi energy	1.11	states/eV per atom
energy of formation from the pure elements	0.2596	eV/atom

a = 2.6553 Å, b = 4.1440 Å, c = 5.1009 Å
α = 90.00°, β = 90.00°, γ = 90.00°
Positions (direct):
Mg: 0.0000 0.0000 0.0000
Mn: 0.5000 0.5000 0.3053
Mn: 0.5000 0.5000 0.6947
Rh: 0.0000 0.0000 0.5000

---

# 16
VASP calculation (GGA-PBE) on crystalline MgMnRuRh at its relaxed geometry.

## Properties
size of the total moment	2.3	μB/cell
DOS at the Fermi energy	0.65	states/eV per atom
energy of formation from the pure elements	-0.1200	eV/atom

a = 4.3001 Å, b = 4.3001 Å, c = 4.3001 Å
α = 60.00°, β = 60.00°, γ = 60.00°
Positions (direct):
Mg: 0.0000 0.0000 0.0000
Mn: 0.5000 0.5000 0.5000
Ru: 0.2500 0.2500 0.2500
Rh: 0.7500 0.7500 0.7500

---

# 17
VASP calculation (GGA-PBE) on crystalline MgMnVRh at its relaxed geometry.

## Properties
size of the total moment	1.1	μB/cell
DOS at the Fermi energy	1.08	states/eV per atom
energy of formation from the pure elements	-0.1226	eV/atom

a = 4.2987 Å, b = 4.2987 Å, c = 4.2987 Å
α = 60.00°, β = 60.00°, γ = 60.00°
Positions (direct):
Mg: 0.0000 0.0000 0.0000
Mn: 0.7500 0.7500 0.7500
V: 0.5000 0.5000 0.5000
Rh: 0.2500 0.2500 0.2500

---

# 18
VASP calculation (GGA-PBE) on crystalline MgMn2Ru at its relaxed geometry.

## Properties
size of the total moment	12.7	μB/cell
DOS at the Fermi energy	1.55	states/eV per atom
energy of formation from the pure elements	0.6035	eV/atom

a = 5.6150 Å, b = 5.6150 Å, c = 5.6150 Å
α = 102.72°, β = 102.72°, γ = 124.03°
Positions (direct):
Mg: 0.0000 0.0000 0.0000
Mg: 0.7500 0.2500 0.5000
Mn: 0.1577 0.1250 0.5327
Mn: 0.3750 0.8423 0.9673
Mn: 0.5923 0.6250 0.4673
Mn: 0.8750 0.4077 0.0327
Ru: 0.2500 0.7500 0.5000
Ru: 0.5000 0.5000 0.0000

---

# 19
VASP calculation (GGA-PBE) on crystalline MgMn2Ru at its relaxed geometry.

## Properties
size of the total moment	4.2	μB/cell
DOS at the Fermi energy	1.14	states/eV per atom
energy of formation from the pure elements	0.2170	eV/atom

a = 5.0784 Å, b = 5.0784 Å, c = 4.3850 Å
α = 115.46°, β = 115.46°, γ = 33.17°
Positions (direct):
Mg: 0.0000 0.0000 0.0000
Mn: 0.2303 0.2303 0.7293
Mn: 0.4948 0.4948 0.4949
Ru: 0.7658 0.7658 0.2650

---

# 20
VASP calculation (GGA-PBE) on crystalline MgMn2Ru at its relaxed geometry.

## Properties
size of the total moment	6.3	μB/cell
DOS at the Fermi energy	0.89	states/eV per atom
energy of formation from the pure elements	0.1980	eV/atom

a = 2.9625 Å, b = 4.4211 Å, c = 4.4222 Å
α = 90.00°, β = 90.00°, γ = 90.00°
Positions (direct):
Mg: 0.0000 0.0000 0.0000
Mn: 0.5000 0.0000 0.4998
Mn: 0.5000 0.5000 0.9976
Ru: 0.0000 0.5000 0.4981

---

# 21
VASP calculation (GGA-PBE) on crystalline Mg2MnRu at its relaxed geometry.

## Properties
size of the total moment	4.0	μB/cell
DOS at the Fermi energy	0.71	states/eV per atom
energy of formation from the pure elements	0.1190	eV/atom
offset from the most stable computed form	69	meV per atom

a = 4.4920 Å, b = 4.4920 Å, c = 4.4920 Å
α = 119.96°, β = 119.96°, γ = 90.06°
Positions (direct):
Mg: 0.0000 0.0000 0.0000
Mg: 0.7500 0.2500 0.5000
Mn: 0.5000 0.5000 0.0000
Ru: 0.2500 0.7500 0.5000

---

# 22
VASP calculation (GGA-PBE) on crystalline MgMn2Ru at its relaxed geometry.

## Properties
size of the total moment	5.9	μB/cell
DOS at the Fermi energy	0.86	states/eV per atom
energy of formation from the pure elements	0.3003	eV/atom

a = 8.9842 Å, b = 8.9842 Å, c = 8.9842 Å
α = 17.76°, β = 17.76°, γ = 17.76°
Positions (direct):
Mg: 0.0000 0.0000 0.0000
Mn: 0.2448 0.2448 0.2448
Mn: 0.7552 0.7552 0.7552
Ru: 0.5000 0.5000 0.5000

---

# 23
VASP calculation (GGA-PBE) on crystalline Mg2MnRu at its relaxed geometry.

## Properties
size of the total moment	1.2	μB/cell
DOS at the Fermi energy	0.57	states/eV per atom
energy of formation from the pure elements	0.0501	eV/atom
offset from the most stable computed form	0	meV per atom

a = 2.9545 Å, b = 2.9545 Å, c = 7.4400 Å
α = 90.00°, β = 90.00°, γ = 90.00°
Positions (direct):
Mg: 0.0000 0.0000 0.0000
Mg: 0.5000 0.5000 0.3324
Mn: 0.0000 0.0000 0.5748
Ru: 0.5000 0.5000 0.7519

---

# 24
VASP calculation (GGA-PBE) on crystalline MgMn2Ru at its relaxed geometry.

## Properties
size of the total moment	4.7	μB/cell
DOS at the Fermi energy	1.34	states/eV per atom
energy of formation from the pure elements	0.2636	eV/atom

a = 4.9764 Å, b = 4.9764 Å, c = 4.9764 Å
α = 143.72°, β = 129.23°, γ = 63.99°
Positions (direct):
Mg: 0.0000 0.0000 0.0000
Mn: 0.2656 0.7656 0.5000
Mn: 0.7344 0.2344 0.5000
Ru: 0.5000 0.5000 0.0000

---

# 25
VASP calculation (GGA-PBE) on crystalline MgMn2Ru at its relaxed geometry.

## Properties
size of the total moment	0.1	μB/cell
DOS at the Fermi energy	0.93	states/eV per atom
energy of formation from the pure elements	0.2343	eV/atom

a = 8.8149 Å, b = 8.8149 Å, c = 8.8149 Å
α = 17.93°, β = 17.93°, γ = 17.93°
Positions (direct):
Mg: 0.0000 0.0000 0.0000
Mn: 0.4989 0.4989 0.4989
Mn: 0.7579 0.7579 0.7579
Ru: 0.2437 0.2437 0.2437

---

# 26
VASP calculation (GGA-PBE) on crystalline Mg2MnRu at its relaxed geometry.

## Properties
size of the total moment	3.8	μB/cell
DOS at the Fermi energy	0.55	states/eV per atom
energy of formation from the pure elements	0.1280	eV/atom
offset from the most stable computed form	78	meV per atom

a = 3.6333 Å, b = 4.1887 Å, c = 4.2129 Å
α = 90.00°, β = 90.00°, γ = 90.00°
Positions (direct):
Mg: 0.0000 0.0000 0.0000
Mg: 0.5000 0.5000 0.0000
Mn: 0.0000 0.5000 0.5000
Ru: 0.5000 0.0000 0.5000

---

# 27
VASP calculation (GGA-PBE) on crystalline Mg2MnRu at its relaxed geometry.

## Properties
size of the total moment	4.3	μB/cell
DOS at the Fermi energy	0.55	states/eV per atom
energy of formation from the pure elements	0.1034	eV/atom
offset from the most stable computed form	53	meV per atom

a = 4.9160 Å, b = 4.9160 Å, c = 4.9160 Å
α = 131.96°, β = 131.96°, γ = 70.30°
Positions (direct):
Mg: 0.2500 0.7500 0.5000
Mg: 0.7500 0.2500 0.5000
Mn: 0.0000 0.0000 0.0000
Ru: 0.5000 0.5000 0.0000

---

# 28
VASP calculation (GGA-PBE) on crystalline Mg2MnRu at its relaxed geometry.

## Properties
size of the total moment	3.2	μB/cell
DOS at the Fermi energy	0.76	states/eV per atom
energy of formation from the pure elements	0.2574	eV/atom
offset from the most stable computed form	207	meV per atom

a = 9.3070 Å, b = 9.3070 Å, c = 9.3070 Å
α = 17.64°, β = 17.64°, γ = 17.64°
Positions (direct):
Mg: 0.2467 0.2467 0.2467
Mg: 0.7533 0.7533 0.7533
Mn: 0.0000 0.0000 0.0000
Ru: 0.5000 0.5000 0.5000